Record 1
# ZnAg2Pb

Crystalline ZnAg2Pb at its relaxed geometry (PBEsol, the Alexandria database).

Lattice parameters (Å, degrees): 9.1661 3.0551 5.6371 90.00 102.36 90.00
With the nearest neighbours (Å) after each atom.
Space group C2/m (No. 12)
Symmetry-distinct sites (fractional):
Zn (0.0000, 0.0000, 0.0000)  6 Ag 2.69-2.91
Ag (0.2350, 0.5000, 0.2061)  3 Zn 2.69-2.91, 2 Ag 2.84, 1 Pb 2.99
Pb (0.0000, 0.5000, 0.5000)  6 Ag 2.99-3.04, 2 Pb 3.06, 4 Zn 3.21

Results
As for the energy above the most stable polymorph in this dataset: 63.3 meV per atom. The calculation puts the formation energy at 121 meV/atom.

Record 2
# Zn2AgPb

Crystalline Zn2AgPb at its relaxed geometry (PBEsol, the Alexandria database).

Lattice parameters (Å, degrees): 3.1881 3.3886 6.9857 90.00 90.00 90.00
With the nearest neighbours (Å) after each atom.
Space group Pmm2 (No. 25)
Symmetry-distinct sites (fractional):
Zn (0.0000, 0.0000, 0.0000)  4 Zn 2.67, 1 Ag 2.73
Zn (0.5000, 0.5000, 0.1875)  4 Zn 2.67, 4 Ag 2.72
Ag (0.0000, 0.0000, 0.3902)  5 Zn 2.72-2.73
Pb (0.5000, 0.5000, 0.6989)  5 Zn 3.14-3.41, 4 Ag 3.17, 4 Pb 3.19-3.39

Results
The calculation puts the formation energy at 118 meV/atom.

Record 3
# Zn2AgPb

Crystalline Zn2AgPb at its relaxed geometry (PBEsol, the Alexandria database).

Lattice parameters (Å, degrees): 5.8594 9.6869 3.2849 90.00 122.97 90.00
With the nearest neighbours (Å) after each atom.
Space group C2/m (No. 12)
Symmetry-distinct sites (fractional):
Zn (0.2500, 0.2500, 0.0000)  2 Pb 2.83, 2 Ag 2.83, 4 Zn 2.93-2.98
Ag (0.0000, 0.0000, 0.0000)  4 Zn 2.83, 4 Pb 2.93-2.98
Pb (0.0000, 0.5000, 0.0000)  4 Zn 2.83, 4 Ag 2.93-2.98

Results
The calculation puts the formation energy at 236 meV/atom.

Record 4
# ZnAg4Pb

Crystalline ZnAg4Pb at its relaxed geometry (PBEsol, the Alexandria database).

Lattice parameters (Å, degrees): 7.7005 7.7005 7.7005 90.00 90.00 90.00
With the nearest neighbours (Å) after each atom.
Space group F-43m (No. 216)
Symmetry-distinct sites (fractional):
Zn (0.0000, 0.0000, 0.0000)  12 Ag 3.19, 4 Pb 3.33
Ag (0.1255, 0.1255, 0.3745)  6 Ag 2.71-2.73
Pb (0.2500, 0.2500, 0.7500)  12 Ag 3.19, 4 Zn 3.33

Results
The calculation puts the formation energy at 154 meV/atom.

Record 5
# ZnAg2Pb

Crystalline ZnAg2Pb at its relaxed geometry (PBEsol, the Alexandria database).

Lattice parameters (Å, degrees): 4.1914 4.1914 8.5727 90.00 90.00 90.00
With the nearest neighbours (Å) after each atom.
Space group I-4m2 (No. 119)
Symmetry-distinct sites (fractional):
Zn (0.0000, 0.0000, 0.0000)  8 Ag 2.96-3.00, 4 Pb 3.00
Ag (0.0000, 0.0000, 0.5000)  4 Zn 2.96, 4 Pb 3.00, 4 Ag 3.00
Ag (0.0000, 0.5000, 0.2500)  4 Pb 2.96, 4 Zn 3.00, 4 Ag 3.00
Pb (0.0000, 0.5000, 0.7500)  8 Ag 2.96-3.00, 4 Zn 3.00

Results
As for the energy above the most stable polymorph in this dataset: 73.9 meV per atom. The calculation puts the formation energy at 132 meV/atom.

Record 6
# ZnAg2Pb

Crystalline ZnAg2Pb at its relaxed geometry (PBEsol, the Alexandria database).

Lattice parameters (Å, degrees): 3.2020 3.2020 7.4193 90.00 90.00 90.00
With the nearest neighbours (Å) after each atom.
Space group P4/mmm (No. 123)
Symmetry-distinct sites (fractional):
Zn (0.0000, 0.0000, 0.0000)  8 Ag 2.70
Ag (0.5000, 0.5000, 0.1978)  4 Zn 2.70, 1 Ag 2.94
Pb (0.0000, 0.0000, 0.5000)  8 Ag 3.19, 4 Pb 3.20

Results
As for the energy above the most stable polymorph in this dataset: 0.0 meV per atom. The calculation puts the formation energy at 58 meV/atom.

Record 7
# ZnAg2Pb

Crystalline ZnAg2Pb at its relaxed geometry (PBEsol, the Alexandria database).

Lattice parameters (Å, degrees): 3.2440 5.0305 9.3498 90.00 90.00 90.00
With the nearest neighbours (Å) after each atom.
Space group Immm (No. 71)
Symmetry-distinct sites (fractional):
Zn (0.0000, 0.0000, 0.0000)  4 Ag 2.66
Ag (0.0000, 0.5000, 0.2748)  2 Zn 2.66
Pb (0.0000, 0.0000, 0.5000)  4 Zn 2.99, 8 Ag 3.04-3.28, 2 Pb 3.24

Results
As for the energy above the most stable polymorph in this dataset: 73.1 meV per atom. The calculation puts the formation energy at 131 meV/atom.

Record 8
# ZnAgPb

Crystalline ZnAgPb at its relaxed geometry (PBEsol, the Alexandria database).

Lattice parameters (Å, degrees): 3.2692 3.2692 6.6456 90.00 90.00 120.00
With the nearest neighbours (Å) after each atom.
Space group P3m1 (No. 156)
Symmetry-distinct sites (fractional):
Zn (0.0000, 0.0000, 0.0000)  3 Ag 2.64
Ag (0.3333, 0.6667, 0.7228)  3 Zn 2.64
Pb (0.6667, 0.3333, 0.3589)  3 Zn 3.04, 3 Ag 3.07, 6 Pb 3.27

Results
The calculation puts the formation energy at 169 meV/atom.

Record 9
# Zn2AgPb

Crystalline Zn2AgPb at its relaxed geometry (PBEsol, the Alexandria database).

Lattice parameters (Å, degrees): 5.7651 8.2077 3.1929 90.00 90.00 90.00
With the nearest neighbours (Å) after each atom.
Space group Cmmm (No. 65)
Symmetry-distinct sites (fractional):
Zn (0.2500, 0.2500, 0.0000)  4 Zn 2.88-3.19, 4 Pb 2.97, 4 Ag 2.97
Ag (0.0000, 0.0000, 0.5000)  2 Pb 2.88, 8 Zn 2.97, 2 Ag 3.19
Pb (0.0000, 0.5000, 0.5000)  2 Ag 2.88, 8 Zn 2.97, 2 Pb 3.19

Results
The calculation puts the formation energy at 213 meV/atom.

Record 10
# ZrAgPb2

Crystalline ZrAgPb2 at its relaxed geometry (PBEsol, the Alexandria database).

Lattice parameters (Å, degrees): 11.2301 3.2629 5.2656 90.00 110.52 90.00
With the nearest neighbours (Å) after each atom.
Space group Cm (No. 8)
Symmetry-distinct sites (fractional):
Zr (0.0000, 0.0000, 0.0000)  7 Pb 3.05-3.14, 2 Ag 3.11, 2 Zr 3.26
Ag (0.2707, 0.0000, 0.6213)  7 Pb 3.03-3.16, 2 Zr 3.11, 2 Ag 3.26
Pb (0.0164, 0.5000, 0.5040)  3 Ag 3.03-3.16, 4 Zr 3.07-3.14, 3 Pb 3.26-3.33
Pb (0.2498, 0.5000, 0.1053)  3 Zr 3.05-3.12, 4 Ag 3.10-3.11, 5 Pb 3.26-3.41

Results
The calculation puts the formation energy at -76 meV/atom.

Record 11
# Ag3Pd

Crystalline Ag3Pd at its relaxed geometry (PBEsol, the Alexandria database).

Lattice parameters (Å, degrees): 5.6375 5.6375 4.6456 90.00 90.00 120.00
With the nearest neighbours (Å) after each atom.
Space group P6_3/mmc (No. 194)
Symmetry-distinct sites (fractional):
Ag (0.1677, 0.3355, 0.2500)  8 Ag 2.80-2.84, 4 Pd 2.82-2.83
Pd (0.3333, 0.6667, 0.7500)  12 Ag 2.82-2.83

Results
The calculation puts the formation energy at -41 meV/atom.

Record 12
# AgPdPt2

Crystalline AgPdPt2 at its relaxed geometry (PBEsol, the Alexandria database).

Lattice parameters (Å, degrees): 6.2487 6.2487 6.2487 90.00 90.00 90.00
With the nearest neighbours (Å) after each atom.
Space group Fm-3m (No. 225)
Symmetry-distinct sites (fractional):
Ag (0.0000, 0.0000, 0.0000)  8 Pt 2.71
Pd (0.0000, 0.0000, 0.5000)  8 Pt 2.71
Pt (0.2500, 0.2500, 0.2500)  4 Pd 2.71, 4 Ag 2.71

Results
The calculation puts the formation energy at 158 meV/atom.

Record 13
# Rb3AgPd

Crystalline Rb3AgPd at its relaxed geometry (PBEsol, the Alexandria database).

Lattice parameters (Å, degrees): 6.2978 6.2978 6.2978 90.00 90.00 90.00
With the nearest neighbours (Å) after each atom.
Space group Pm-3m (No. 221)
Symmetry-distinct sites (fractional):
Rb (0.0000, 0.0000, 0.5000)  2 Ag 3.15
Ag (0.0000, 0.0000, 0.0000)  6 Rb 3.15
Pd (0.5000, 0.5000, 0.5000)  12 Rb 4.45

Results
The calculation puts the formation energy at 542 meV/atom.

Record 14
# AgPdSe2

Crystalline AgPdSe2 at its relaxed geometry (PBEsol, the Alexandria database).

Lattice parameters (Å, degrees): 3.7110 3.7110 22.6252 90.00 90.00 120.00
With the nearest neighbours (Å) after each atom.
Space group R-3m (No. 166, hexagonal axes)
Symmetry-distinct sites (fractional):
Ag (0.0000, 0.0000, 0.0000)  2 Se 2.46
Pd (0.0000, 0.0000, 0.5000)  6 Se 2.51
Se (0.0000, 0.0000, 0.1088)  1 Ag 2.46, 3 Pd 2.51

Results
The value obtained for the formation energy from raw total energies is -0.103 eV/atom.

Record 15
# AgPd3Se

Crystalline AgPd3Se at its relaxed geometry (PBEsol, the Alexandria database).

Lattice parameters (Å, degrees): 8.5842 8.5842 8.5842 90.00 90.00 90.00
With the nearest neighbours (Å) after each atom.
Space group Pa-3 (No. 205)
Symmetry-distinct sites (fractional):
Ag (0.0943, 0.0943, 0.0943)  1 Ag 2.80, 9 Pd 2.97-2.99, 3 Se 3.07
Pd (0.0852, 0.7230, 0.1397)  2 Se 2.42-2.48
Se (0.1205, 0.6205, 0.8795)  6 Pd 2.42-2.48

Results
The value obtained for the formation energy from raw total energies is -0.176 eV/atom.

Record 16
# AgPdWSe2

Crystalline AgPdWSe2 at its relaxed geometry (PBEsol, the Alexandria database).

Lattice parameters (Å, degrees): 4.7634 4.7634 4.8146 90.00 90.00 90.00
With the nearest neighbours (Å) after each atom.
Space group P4/mmm (No. 123)
Symmetry-distinct sites (fractional):
Ag (0.0000, 0.0000, 0.0000)  2 Pd 2.41
Pd (0.0000, 0.0000, 0.5000)  4 Se 2.38, 2 Ag 2.41
W (0.5000, 0.5000, 0.0000)  4 Ag 3.37, 8 Se 3.39
Se (0.0000, 0.5000, 0.5000)  2 Pd 2.38

Results
The value obtained for the formation energy from raw total energies is 1.309 eV/atom.

Record 17
# Ag2SnPd

Crystalline Ag2SnPd at its relaxed geometry (PBEsol, the Alexandria database).

Lattice parameters (Å, degrees): 6.5124 6.5124 6.5124 90.00 90.00 90.00
With the nearest neighbours (Å) after each atom.
Space group Fm-3m (No. 225)
Symmetry-distinct sites (fractional):
Ag (0.2500, 0.2500, 0.2500)  4 Sn 2.82, 4 Pd 2.82
Sn (0.0000, 0.0000, 0.0000)  8 Ag 2.82
Pd (0.0000, 0.0000, 0.5000)  8 Ag 2.82

Results
The calculation puts the formation energy at -101 meV/atom.

Record 18
# Sr2AgPd2

Crystalline Sr2AgPd2 at its relaxed geometry (PBEsol, the Alexandria database).

Lattice parameters (Å, degrees): 7.4294 7.4294 4.2850 90.00 90.00 90.00
With the nearest neighbours (Å) after each atom.
Space group P4/mbm (No. 127)
Symmetry-distinct sites (fractional):
Sr (0.1747, 0.3253, 0.0000)  6 Pd 2.97-3.13
Ag (0.0000, 0.0000, 0.5000)  4 Pd 2.92
Pd (0.1295, 0.6295, 0.5000)  1 Pd 2.72, 2 Ag 2.92, 2 Sr 2.97

Results
As for the energy above the most stable polymorph in this dataset: 0.0 meV per atom. The calculation puts the formation energy at -411 meV/atom.

Record 19
# SrAg3Pd2

Crystalline SrAg3Pd2 at its relaxed geometry (PBEsol, the Alexandria database).

Lattice parameters (Å, degrees): 5.4812 5.4812 4.4927 90.00 90.00 120.00
With the nearest neighbours (Å) after each atom.
Space group P6/mmm (No. 191)
Symmetry-distinct sites (fractional):
Sr (0.0000, 0.0000, 0.0000)  6 Pd 3.16, 12 Ag 3.54
Ag (0.0000, 0.5000, 0.5000)  4 Ag 2.74, 4 Pd 2.75
Pd (0.3333, 0.6667, 0.0000)  6 Ag 2.75

Results
The calculation puts the formation energy at -298 meV/atom.

Record 20
# Sr2AgPd2

Crystalline Sr2AgPd2 at its relaxed geometry (PBEsol, the Alexandria database).

Lattice parameters (Å, degrees): 5.7447 5.7447 7.9231 90.00 90.00 90.00
With the nearest neighbours (Å) after each atom.
Space group I4/mmm (No. 139)
Symmetry-distinct sites (fractional):
Sr (0.0000, 0.5000, 0.2500)  4 Pd 2.96
Ag (0.0000, 0.0000, 0.0000)  2 Pd 2.68
Pd (0.0000, 0.0000, 0.3380)  1 Pd 2.57, 1 Ag 2.68

Results
As for the energy above the most stable polymorph in this dataset: 138.9 meV per atom. The calculation puts the formation energy at -272 meV/atom.